No. 1
# GGA-PBE AcLaPb2, optimized geometry
data_AcLaPb2
_symmetry_space_group_name_H-M 'P 1'
_symmetry_Int_Tables_number 1
_symmetry_space_group_name_Hall 'P 1'
_cell_length_a 5.069
_cell_length_b 5.069
_cell_length_c 7.690
_cell_angle_alpha 70.76
_cell_angle_beta 70.76
_cell_angle_gamma 60.00
loop_
_atom_site_label
_atom_site_type_symbol
_atom_site_fract_x
_atom_site_fract_y
_atom_site_fract_z
La1 La 0.496 0.496 0.512
Pb1 Pb 0.091 0.091 0.727
Pb2 Pb 0.244 0.244 0.269
Ac1 Ac 0.669 0.669 0.993
# total DFT energy (no corrections)	-18.03	eV per cell
# calculated volume	158	Å³/cell
# calculated density	8.189	g/cm³
# crystal system	trigonal
# D(E_F)	2.986	states/eV per cell

No. 2
# GGA-PBE Mg3Si4, optimized geometry
data_Mg3Si4
_symmetry_space_group_name_H-M 'P 1'
_symmetry_Int_Tables_number 1
_symmetry_space_group_name_Hall 'P 1'
_cell_length_a 8.828
_cell_length_b 8.828
_cell_length_c 8.240
_cell_angle_alpha 72.11
_cell_angle_beta 72.11
_cell_angle_gamma 27.41
loop_
_atom_site_label
_atom_site_type_symbol
_atom_site_fract_x
_atom_site_fract_y
_atom_site_fract_z
Si1 Si 0.743 0.743 0.995
Si2 Si 0.547 0.547 0.343
Mg1 Mg 0.722 0.722 0.442
Si3 Si 0.476 0.476 0.143
Si4 Si 0.868 0.868 0.763
Si5 Si 0.335 0.335 0.313
Si6 Si 0.125 0.125 0.655
Mg2 Mg 0.918 0.918 0.408
Mg3 Mg 0.286 0.286 0.674
Mg4 Mg 0.973 0.973 0.946
Mg5 Mg 0.621 0.621 0.865
Si7 Si 0.113 0.113 0.372
Mg6 Mg 0.474 0.474 0.675
Si8 Si 0.243 0.243 0.152
# calculated volume	280	Å³/cell
# formation energy from raw total energies	0.0521	eV/atom
# calculated density	2.194	g/cm³
# crystal system	monoclinic
# D(E_F)	4.094	states/eV per cell